Entry 1:
The following is a DFT calculation (PBE) of a geometry-optimized Nd2SnHRh6 structure.

Calculated values
raw total energy: -6.494 eV/atom
density: 9.59 Mg/m³
magnetization: 0.0 μB per formula unit

```
data_Nd2SnHRh6
_cell_length_a 8.9141
_cell_length_b 8.9208
_cell_length_c 6.1409
_cell_angle_alpha 90.00
_cell_angle_beta 133.34
_cell_angle_gamma 90.00
_symmetry_space_group_name_H-M 'C 1 2/m 1'
_symmetry_Int_Tables_number 12
loop_
_symmetry_equiv_pos_as_xyz
'x,y,z'
'-x,-y,-z'
'-x,y,-z'
'x,-y,z'
'x+1/2,y+1/2,z'
'-x+1/2,-y+1/2,-z'
'-x+1/2,y+1/2,-z'
'x+1/2,-y+1/2,z'
loop_
_atom_site_label
_atom_site_type_symbol
_atom_site_fract_x
_atom_site_fract_y
_atom_site_fract_z
_atom_site_occupancy
Nd1 Nd 0.0000 0.2437 0.0000 1
Sn1 Sn 0.0000 0.0000 0.5000 1
H1 H 0.0000 0.5000 0.5000 1
Rh1 Rh 0.0000 0.2839 0.5000 1
Rh2 Rh 0.2086 0.5000 0.4844 1
Rh3 Rh 0.2097 0.5000 0.9341 1
```

---

Entry 2:
The following is a DFT calculation (PBE) of a geometry-optimized KMgBeCl5 structure.

Calculated values
density: 2.11 Mg/m³
energy relative to the elements, uncorrected: -1710.6 meV/atom
magnetization: 0.0 μB per formula unit

```
data_KMgBeCl5
_cell_length_a 8.5695
_cell_length_b 11.1861
_cell_length_c 8.9775
_cell_angle_alpha 90.00
_cell_angle_beta 113.82
_cell_angle_gamma 90.00
_symmetry_space_group_name_H-M 'C 1 2/c 1'
_symmetry_Int_Tables_number 15
loop_
_symmetry_equiv_pos_as_xyz
'x,y,z'
'-x,-y,-z'
'-x,y,-z+1/2'
'x,-y,z+1/2'
'x+1/2,y+1/2,z'
'-x+1/2,-y+1/2,-z'
'-x+1/2,y+1/2,-z+1/2'
'x+1/2,-y+1/2,z+1/2'
loop_
_atom_site_label
_atom_site_type_symbol
_atom_site_fract_x
_atom_site_fract_y
_atom_site_fract_z
_atom_site_occupancy
K1 K 0.0000 0.1540 0.2500 1
Mg1 Mg 0.0000 0.5000 0.0000 1
Be1 Be 0.0000 0.1878 0.7500 1
Cl1 Cl 0.0000 0.4248 0.2500 1
Cl2 Cl 0.1049 0.2907 0.6246 1
Cl3 Cl 0.1808 0.0805 0.9181 1
```